The following is a PBE-GGA calculation of Pm2Si3Ir after structural relaxation, from Alexandria. Values from VASP.

```
&SYSTEM
  ibrav = 0, nat = 12, ntyp = 3
/
ATOMIC_SPECIES
Pm 145.00 Pm.upf
Si 28.09 Si.upf
Ir 192.22 Ir.upf
CELL_PARAMETERS angstrom
-0.743 4.007 -4.246
-5.646 -1.541 -0.618
1.340 3.600 7.317
ATOMIC_POSITIONS angstrom
Pm -3.750 1.646 2.133
Pm -1.606 0.620 -1.223
Pm -1.298 4.420 0.319
Pm -4.782 1.845 -3.641
Si -0.318 5.409 3.158
Si -2.769 2.636 4.972
Si -2.280 3.430 -2.520
Si -4.429 4.450 0.819
Si -4.731 0.657 -0.706
Si -0.620 1.616 1.633
Ir -1.237 3.225 3.259
Ir -3.811 2.841 -0.807
```

Properties
Magnetic moment (μB per formula unit): 0.00
Symmetry: Fmmm, No. 69
ρ (g/cm3): 7.63
Uncorrected formation energy (eV per atom): -0.90